Material: TaCdAg4
Method: DFT, PBE-GGA
State: optimized geometry

The space group is F-43m (No. 216) and the conventional cell measures 7.671, 7.671 and 7.671 Å, with angles of 90.00, 90.00 and 90.00 degrees. The asymmetric unit holds Ta at (0.000, 0.000, 0.000), Cd at (0.250, 0.250, 0.250) and Ag at (0.125, 0.125, 0.625).

Its total moment is 0.7 μB per formula unit. For the formation energy, the calculation gives 0.487 eV per atom.

***

Material: TaCdAg2
Method: DFT, PBE-GGA
State: optimized geometry

The space group is R-3m (No. 166, hexagonal axes) and the conventional cell measures 2.9345, 2.9345 and 29.9281 Å, with angles of 90.00, 90.00 and 120.00 degrees. The asymmetric unit holds Ta at (0.0000, 0.0000, 0.0000), Cd at (0.0000, 0.0000, 0.5000) and Ag at (0.0000, 0.0000, 0.2516).

Its total moment is 0.0 μB per formula unit. For the formation energy, the calculation gives 0.145 eV per atom.

***

Material: TaCdAg2
Method: DFT, PBE-GGA
State: optimized geometry

The space group is I-4m2 (No. 119) and the conventional cell measures 4.510, 4.510 and 7.219 Å, with angles of 90.00, 90.00 and 90.00 degrees. The asymmetric unit holds Ta at (0.000, 0.000, 0.000), Cd at (0.000, 0.500, 0.250), Ag at (0.000, 0.000, 0.500) and Ag at (0.000, 0.500, 0.750).

Its total moment is 0.0 μB per formula unit. For the formation energy, the calculation gives 0.490 eV per atom.

***

Material: TaCdAg2
Method: DFT, PBE-GGA
State: optimized geometry

The space group is Imm2 (No. 44) and the conventional cell measures 2.848, 5.122 and 10.292 Å, with angles of 90.00, 90.00 and 90.00 degrees. The asymmetric unit holds Ta at (0.000, 0.000, 0.000), Cd at (0.000, 0.500, 0.757), Ag at (0.000, 0.000, 0.505) and Ag at (0.000, 0.500, 0.251).

Its total moment is 0.0 μB per formula unit. For the formation energy, the calculation gives 0.369 eV per atom.

***

Material: TaCd4Ag
Method: DFT, PBE-GGA
State: optimized geometry

The space group is F-43m (No. 216) and the conventional cell measures 7.923, 7.923 and 7.923 Å, with angles of 90.00, 90.00 and 90.00 degrees. The asymmetric unit holds Ta at (0.000, 0.000, 0.000), Cd at (0.126, 0.126, 0.374) and Ag at (0.250, 0.250, 0.750).

Its total moment is 0.7 μB per formula unit. For the formation energy, the calculation gives 0.566 eV per atom.

***

Material: TaCdAg2
Method: DFT, PBE-GGA
State: optimized geometry

The space group is Pmmm (No. 47) and the conventional cell measures 2.850, 4.253 and 6.114 Å, with angles of 90.00, 90.00 and 90.00 degrees. The asymmetric unit holds Ta at (0.000, 0.000, 0.000), Cd at (0.000, 0.000, 0.500) and Ag at (0.500, 0.500, 0.238).

Its total moment is 0.0 μB per formula unit. For the formation energy, the calculation gives 0.288 eV per atom.

***

Material: TaCdAg2
Method: DFT, PBE-GGA
State: optimized geometry

The space group is P4/mmm (No. 123) and the conventional cell measures 5.082, 5.082 and 2.888 Å, with angles of 90.00, 90.00 and 90.00 degrees. The asymmetric unit holds Ta at (0.000, 0.000, 0.000), Cd at (0.500, 0.500, 0.000) and Ag at (0.000, 0.500, 0.500).

Its total moment is 0.0 μB per formula unit. For the formation energy, the calculation gives 0.381 eV per atom.

***

Material: TaCdAg2
Method: DFT, PBE-GGA
State: optimized geometry

The space group is Cmmm (No. 65) and the conventional cell measures 6.156, 8.680 and 2.797 Å, with angles of 90.00, 90.00 and 90.00 degrees. The asymmetric unit holds Ta at (0.000, 0.000, 0.000), Cd at (0.000, 0.500, 0.000) and Ag at (0.250, 0.250, 0.500).

Its total moment is 0.0 μB per formula unit. For the formation energy, the calculation gives 0.380 eV per atom.

***

Material: TaCdAg2
Method: DFT, PBE-GGA
State: optimized geometry

The space group is Cmmm (No. 65) and the conventional cell measures 3.228, 4.645 and 9.905 Å, with angles of 90.00, 90.00 and 90.00 degrees. The asymmetric unit holds Ta at (0.000, 0.000, 0.000), Cd at (0.000, 0.000, 0.500) and Ag at (0.000, 0.500, 0.245).

Its total moment is 0.0 μB per formula unit. For the formation energy, the calculation gives 0.189 eV per atom.

***

Material: TaCdAg
Method: DFT, PBE-GGA
State: optimized geometry

The space group is F-43m (No. 216) and the conventional cell measures 6.320, 6.320 and 6.320 Å, with angles of 90.00, 90.00 and 90.00 degrees. The asymmetric unit holds Ta at (0.000, 0.000, 0.000), Cd at (0.000, 0.000, 0.500) and Ag at (0.250, 0.250, 0.250).

For the distance to the lowest polymorph of the same formula, the calculation gives 1.615 eV/f.u. Its total moment is 0.0 μB per formula unit. For the formation energy, the calculation gives 0.779 eV per atom.

***

Material: TaCdAg
Method: DFT, PBE-GGA
State: optimized geometry

The space group is Fmm2 (No. 42) and the conventional cell measures 3.563, 4.432 and 14.209 Å, with angles of 90.00, 90.00 and 90.00 degrees. The asymmetric unit holds Ta at (0.000, 0.000, 0.000), Cd at (0.000, 0.000, 0.329) and Ag at (0.000, 0.000, 0.661).

For the distance to the lowest polymorph of the same formula, the calculation gives 0.033 eV/f.u. Its total moment is 0.0 μB per formula unit. For the formation energy, the calculation gives 0.252 eV per atom.

***

Material: TaCdAg2
Method: DFT, PBE-GGA
State: optimized geometry

The space group is R3m (No. 160, hexagonal axes) and the conventional cell measures 2.9368, 2.9368 and 29.8431 Å, with angles of 90.00, 90.00 and 120.00 degrees. The asymmetric unit holds Ta at (0.0000, 0.0000, 0.0000), Cd at (0.0000, 0.0000, 0.2456), Ag at (0.0000, 0.0000, 0.4958) and Ag at (0.0000, 0.0000, 0.7479).

Its total moment is 0.0 μB per formula unit. For the formation energy, the calculation gives 0.197 eV per atom.

***

Material: TaCdAg2
Method: DFT, PBE-GGA
State: optimized geometry

The space group is C2/m (No. 12) and the conventional cell measures 9.641, 2.818 and 5.509 Å, with angles of 90.00, 96.23 and 90.00 degrees. The asymmetric unit holds Ta at (0.000, 0.000, 0.000), Cd at (0.000, 0.500, 0.500) and Ag at (0.249, 0.500, 0.237).

Its total moment is 0.0 μB per formula unit. For the formation energy, the calculation gives 0.297 eV per atom.

***

Material: TaCdAg
Method: DFT, PBE-GGA
State: optimized geometry

The space group is P3m1 (No. 156) and the conventional cell measures 2.9335, 2.9335 and 7.5593 Å, with angles of 90.00, 90.00 and 120.00 degrees. The asymmetric unit holds Ta at (0.0000, 0.0000, 0.0000), Cd at (0.6667, 0.3333, 0.6551) and Ag at (0.3333, 0.6667, 0.3233).

For the distance to the lowest polymorph of the same formula, the calculation gives 0.009 eV/f.u. Its total moment is 0.0 μB per formula unit. For the formation energy, the calculation gives 0.244 eV per atom.

***

Material: TaCdAg2
Method: DFT, PBE-GGA
State: optimized geometry

The space group is Immm (No. 71) and the conventional cell measures 2.844, 5.201 and 10.260 Å, with angles of 90.00, 90.00 and 90.00 degrees. The asymmetric unit holds Ta at (0.000, 0.000, 0.000), Cd at (0.000, 0.000, 0.500) and Ag at (0.000, 0.500, 0.253).

Its total moment is 0.0 μB per formula unit. For the formation energy, the calculation gives 0.392 eV per atom.

***

Material: TaCdAg
Method: DFT, PBE-GGA
State: optimized geometry

The space group is I4mm (No. 107) and the conventional cell measures 2.939, 2.939 and 12.918 Å, with angles of 90.00, 90.00 and 90.00 degrees. The asymmetric unit holds Ta at (0.000, 0.000, 0.000), Cd at (0.000, 0.000, 0.671) and Ag at (0.000, 0.000, 0.339).

For the distance to the lowest polymorph of the same formula, the calculation gives 0.000 eV/f.u. Its total moment is 0.0 μB per formula unit. For the formation energy, the calculation gives 0.241 eV per atom.

***

Material: TaCdAg2
Method: DFT, PBE-GGA
State: optimized geometry

The space group is P4/mmm (No. 123) and the conventional cell measures 2.943, 2.943 and 8.496 Å, with angles of 90.00, 90.00 and 90.00 degrees. The asymmetric unit holds Ta at (0.000, 0.000, 0.000), Cd at (0.000, 0.000, 0.500) and Ag at (0.500, 0.500, 0.245).

Its total moment is 0.0 μB per formula unit. For the formation energy, the calculation gives 0.190 eV per atom.

***

Material: TaCdAg2
Method: DFT, PBE-GGA
State: optimized geometry

The space group is I-42d (No. 122) and the conventional cell measures 7.557, 7.557 and 5.723 Å, with angles of 90.00, 90.00 and 90.00 degrees. The asymmetric unit holds Ta at (0.000, 0.000, 0.000), Cd at (0.000, 0.000, 0.500) and Ag at (0.246, 0.250, 0.125).

Its total moment is 0.0 μB per formula unit. For the formation energy, the calculation gives 0.812 eV per atom.

***

Material: TaCdAg2
Method: DFT, PBE-GGA
State: optimized geometry

The space group is P4mm (No. 99) and the conventional cell measures 2.918, 2.918 and 8.662 Å, with angles of 90.00, 90.00 and 90.00 degrees. The asymmetric unit holds Ta at (0.000, 0.000, 0.000), Cd at (0.500, 0.500, 0.742), Ag at (0.000, 0.000, 0.487) and Ag at (0.500, 0.500, 0.243).

Its total moment is 0.0 μB per formula unit. For the formation energy, the calculation gives 0.196 eV per atom.

***

Material: TaCdAg2
Method: DFT, PBE-GGA
State: optimized geometry

The space group is Cm (No. 8) and the conventional cell measures 9.768, 2.814 and 5.439 Å, with angles of 90.00, 97.64 and 90.00 degrees. The asymmetric unit holds Ta at (0.000, 0.000, 0.000), Cd at (0.250, 0.500, 0.272), Ag at (0.000, 0.500, 0.509) and Ag at (0.250, 0.000, 0.775).

Its total moment is 0.0 μB per formula unit. For the formation energy, the calculation gives 0.343 eV per atom.